## TbHo6Er3Th2 (PBE-GGA)

Data for a geometry-optimized TbHo6Er3Th2 structure.

The calculated density is 9.37 g cm⁻³. For the formation energy, the calculation gives 27 meV/atom. As for the crystal system: monoclinic. The calculation puts the total energy at -5.0251 eV/atom. The magnetic moment comes out at 0.00 μB per cell.

The structure belongs to space group C2/m (No. 12); the cell edges are 6.132, 10.609 and 11.696 Å and the angles 90.00°, 100.07° and 90.00°. The asymmetric unit holds Tb at (0.000, 0.000, 0.000), Ho at (0.246, 0.500, 0.249), Ho at (0.248, 0.332, 0.751), Er at (0.000, 0.166, 0.500), Er at (0.000, 0.500, 0.500) and Th at (0.000, 0.333, 0.000).